# VSnSe2 PBE relaxed
data_VSnSe2
_symmetry_space_group_name_H-M 'I -4 2 d'
_symmetry_Int_Tables_number 122
_symmetry_space_group_name_Hall 'I -4 2bw'
_cell_length_a 6.6105
_cell_length_b 6.6105
_cell_length_c 10.6812
_cell_angle_alpha 90.00
_cell_angle_beta 90.00
_cell_angle_gamma 90.00
loop_
_atom_site_label
_atom_site_type_symbol
_atom_site_fract_x
_atom_site_fract_y
_atom_site_fract_z
V1 V 0.0000 0.0000 0.0000
Sn1 Sn 0.0000 0.0000 0.5000
Se1 Se 0.1903 0.2500 0.1250
# DOS at the Fermi energy = 0.653 states/eV/atom
# density = 4661 kg/m3
# formation energy without anion corrections = -0.90 eV/f.u.